RbCuAgCl3 after structural relaxation, computed with PBE-GGA.

Values from the calculation:
Crystal system = monoclinic
ΔE_f (raw) = -5.33 eV/f.u.
Space-group type = C2/m

Lattice parameters (Å, degrees): 10.2521 10.2521 8.8630 115.01 115.01 23.07
Fractional coordinates of all 12 atoms:
1 Rb 0.1517 0.1517 0.2655
2 Rb 0.8483 0.8483 0.7345
3 Cu 0.4681 0.4681 0.6024
4 Cu 0.5319 0.5319 0.3976
5 Ag 0.1724 0.1724 0.8159
6 Ag 0.8276 0.8276 0.1841
7 Cl 0.0123 0.0123 0.7166
8 Cl 0.3235 0.3235 0.9750
9 Cl 0.3423 0.3423 0.4295
10 Cl 0.6577 0.6577 0.5705
11 Cl 0.6765 0.6765 0.0250
12 Cl 0.9877 0.9877 0.2834



Rb2CuAgCl5 after structural relaxation, computed with PBE-GGA.

Values from the calculation:
Crystal system = orthorhombic
ΔE_f (raw) = -10.04 eV/f.u.
Space-group type = Cmc2_1

Lattice parameters (Å, degrees): 10.3840 10.3840 12.9525 90.00 90.00 157.57
Fractional coordinates of all 18 atoms:
1 Rb 0.1179 0.8821 0.5000
2 Rb 0.1234 0.8766 0.8744
3 Rb 0.8766 0.1234 0.3744
4 Rb 0.8821 0.1179 0.0000
5 Cu 0.4401 0.5599 0.6372
6 Cu 0.5599 0.4401 0.1372
7 Ag 0.2183 0.7817 0.2224
8 Ag 0.7817 0.2183 0.7224
9 Cl 0.0342 0.9658 0.2161
10 Cl 0.2878 0.7122 0.8570
11 Cl 0.3292 0.6708 0.5991
12 Cl 0.3450 0.6550 0.1862
13 Cl 0.4889 0.5111 0.4789
14 Cl 0.5111 0.4889 0.9789
15 Cl 0.6550 0.3450 0.6862
16 Cl 0.6708 0.3292 0.0991
17 Cl 0.7122 0.2878 0.3570
18 Cl 0.9658 0.0342 0.7161



RbCuAgCl5 after structural relaxation, computed with PBE-GGA.

Values from the calculation:
Crystal system = monoclinic
ΔE_f (raw) = -6.43 eV/f.u.
Space-group type = C2/c

Lattice parameters (Å, degrees): 7.6461 7.6461 9.3561 100.55 100.55 118.98
Fractional coordinates of all 16 atoms:
1 Rb 0.1753 0.8247 0.7500
2 Rb 0.8247 0.1753 0.2500
3 Cu 0.1603 0.8397 0.2500
4 Cu 0.8397 0.1603 0.7500
5 Ag 0.5000 0.5000 0.0000
6 Ag 0.5000 0.5000 0.5000
7 Cl 0.1163 0.2083 0.9282
8 Cl 0.2083 0.1163 0.4282
9 Cl 0.2281 0.6829 0.4115
10 Cl 0.3171 0.7719 0.0885
11 Cl 0.4356 0.5644 0.7500
12 Cl 0.5644 0.4356 0.2500
13 Cl 0.6829 0.2281 0.9115
14 Cl 0.7719 0.3171 0.5885
15 Cl 0.7917 0.8837 0.5718
16 Cl 0.8837 0.7917 0.0718



Rb2Cu2AgCl7 after structural relaxation, computed with PBE-GGA.

Values from the calculation:
Crystal system = monoclinic
ΔE_f (raw) = -10.87 eV/f.u.
Space-group type = C2/m

Lattice parameters (Å, degrees): 4.9060 4.9060 12.9961 100.88 100.88 90.01
Fractional coordinates of all 12 atoms:
1 Rb 0.1746 0.1746 0.3548
2 Rb 0.8254 0.8254 0.6452
3 Cu 0.4095 0.4095 0.8148
4 Cu 0.5905 0.5905 0.1852
5 Ag 0.0000 0.0000 0.0000
6 Cl 0.0824 0.5808 0.1688
7 Cl 0.3148 0.3148 0.6249
8 Cl 0.4192 0.9176 0.8312
9 Cl 0.5000 0.5000 0.0000
10 Cl 0.5808 0.0824 0.1688
11 Cl 0.6852 0.6852 0.3751
12 Cl 0.9176 0.4192 0.8312



What did the second record say?
Rb2CuAgCl5 after structural relaxation, computed with PBE-GGA.

Values from the calculation:
Crystal system = orthorhombic
ΔE_f (raw) = -10.04 eV/f.u.
Space-group type = Cmc2_1

Lattice parameters (Å, degrees): 10.3840 10.3840 12.9525 90.00 90.00 157.57
Fractional coordinates of all 18 atoms:
1 Rb 0.1179 0.8821 0.5000
2 Rb 0.1234 0.8766 0.8744
3 Rb 0.8766 0.1234 0.3744
4 Rb 0.8821 0.1179 0.0000
5 Cu 0.4401 0.5599 0.6372
6 Cu 0.5599 0.4401 0.1372
7 Ag 0.2183 0.7817 0.2224
8 Ag 0.7817 0.2183 0.7224
9 Cl 0.0342 0.9658 0.2161
10 Cl 0.2878 0.7122 0.8570
11 Cl 0.3292 0.6708 0.5991
12 Cl 0.3450 0.6550 0.1862
13 Cl 0.4889 0.5111 0.4789
14 Cl 0.5111 0.4889 0.9789
15 Cl 0.6550 0.3450 0.6862
16 Cl 0.6708 0.3292 0.0991
17 Cl 0.7122 0.2878 0.3570
18 Cl 0.9658 0.0342 0.7161



Please write out number 4 again, unchanged.
Rb2Cu2AgCl7 after structural relaxation, computed with PBE-GGA.

Values from the calculation:
Crystal system = monoclinic
ΔE_f (raw) = -10.87 eV/f.u.
Space-group type = C2/m

Lattice parameters (Å, degrees): 4.9060 4.9060 12.9961 100.88 100.88 90.01
Fractional coordinates of all 12 atoms:
1 Rb 0.1746 0.1746 0.3548
2 Rb 0.8254 0.8254 0.6452
3 Cu 0.4095 0.4095 0.8148
4 Cu 0.5905 0.5905 0.1852
5 Ag 0.0000 0.0000 0.0000
6 Cl 0.0824 0.5808 0.1688
7 Cl 0.3148 0.3148 0.6249
8 Cl 0.4192 0.9176 0.8312
9 Cl 0.5000 0.5000 0.0000
10 Cl 0.5808 0.0824 0.1688
11 Cl 0.6852 0.6852 0.3751
12 Cl 0.9176 0.4192 0.8312



Please write out number 4 again, unchanged.
Rb2Cu2AgCl7 after structural relaxation, computed with PBE-GGA.

Values from the calculation:
Crystal system = monoclinic
ΔE_f (raw) = -10.87 eV/f.u.
Space-group type = C2/m

Lattice parameters (Å, degrees): 4.9060 4.9060 12.9961 100.88 100.88 90.01
Fractional coordinates of all 12 atoms:
1 Rb 0.1746 0.1746 0.3548
2 Rb 0.8254 0.8254 0.6452
3 Cu 0.4095 0.4095 0.8148
4 Cu 0.5905 0.5905 0.1852
5 Ag 0.0000 0.0000 0.0000
6 Cl 0.0824 0.5808 0.1688
7 Cl 0.3148 0.3148 0.6249
8 Cl 0.4192 0.9176 0.8312
9 Cl 0.5000 0.5000 0.0000
10 Cl 0.5808 0.0824 0.1688
11 Cl 0.6852 0.6852 0.3751
12 Cl 0.9176 0.4192 0.8312